[1]
Computed, not measured: VFePd2 after structural relaxation at the PBE level of DFT.

Output
- relative energy among the computed polymorphs (eV/f.u.) = 0.00
- calculated total energy (eV/cell) = -28.69
- space-group type = P4/mmm
- crystal system = tetragonal
- ΔH_f (0 K) (eV/atom) = -0.180

abc: 3.836 3.836 3.830
angles: 90.00 90.00 90.00
Atoms (fractional coordinates):
V  0.000  0.000  0.000
Fe  0.500  0.500  0.000
Pd  0.000  0.500  0.500
Pd  0.500  0.000  0.500



[2]
Computed, not measured: BaTl3Br after structural relaxation at the PBE level of DFT.

Output
- relative energy among the computed polymorphs (eV/f.u.) = 2.71
- calculated total energy (eV/cell) = -8.92
- space-group type = Pm-3m
- crystal system = cubic
- ΔE_f (raw) (eV/atom) = 0.356

abc: 6.673 6.673 6.673
angles: 90.00 90.00 90.00
Atoms (fractional coordinates):
Ba  0.000  0.000  0.000
Tl  0.000  0.000  0.500
Tl  0.000  0.500  0.000
Tl  0.500  0.000  0.000
Br  0.500  0.500  0.500



[3]
Computed, not measured: Sr12Se3N5 after structural relaxation at the PBE level of DFT.

Output
- calculated total energy (eV/cell) = -356.92
- space-group type = Ia-3d
- crystal system = cubic
- ΔE_f (raw) (eV/atom) = -0.848

abc: 14.470 14.470 14.470
angles: 109.47 109.47 109.47
Atoms (fractional coordinates):
Sr  0.018  0.200  0.118
Sr  0.018  0.318  0.899
Sr  0.082  0.700  0.682
Sr  0.082  0.882  0.399
Sr  0.101  0.618  0.418
Sr  0.101  0.982  0.682
Sr  0.118  0.018  0.200
Sr  0.118  0.601  0.918
Sr  0.182  0.200  0.582
Sr  0.182  0.482  0.601
Sr  0.200  0.118  0.018
Sr  0.200  0.582  0.182
Sr  0.300  0.318  0.918
Sr  0.300  0.482  0.382
Sr  0.318  0.899  0.018
Sr  0.318  0.918  0.300
Sr  0.382  0.300  0.482
Sr  0.382  0.582  0.899
Sr  0.399  0.082  0.882
Sr  0.399  0.818  0.518
Sr  0.418  0.101  0.618
Sr  0.418  0.818  0.800
Sr  0.482  0.382  0.300
Sr  0.482  0.601  0.182
Sr  0.518  0.399  0.818
Sr  0.518  0.618  0.700
Sr  0.582  0.182  0.200
Sr  0.582  0.899  0.382
Sr  0.601  0.182  0.482
Sr  0.601  0.918  0.118
Sr  0.618  0.418  0.101
Sr  0.618  0.700  0.518
Sr  0.682  0.082  0.700
Sr  0.682  0.101  0.982
Sr  0.700  0.518  0.618
Sr  0.700  0.682  0.082
Sr  0.800  0.418  0.818
Sr  0.800  0.882  0.982
Sr  0.818  0.518  0.399
Sr  0.818  0.800  0.418
Sr  0.882  0.399  0.082
Sr  0.882  0.982  0.800
Sr  0.899  0.018  0.318
Sr  0.899  0.382  0.582
Sr  0.918  0.118  0.601
Sr  0.918  0.300  0.318
Sr  0.982  0.682  0.101
Sr  0.982  0.800  0.882
Se  0.125  0.250  0.375
Se  0.125  0.375  0.750
Se  0.250  0.375  0.125
Se  0.250  0.875  0.625
Se  0.375  0.125  0.250
Se  0.375  0.750  0.125
Se  0.625  0.250  0.875
Se  0.625  0.875  0.750
Se  0.750  0.125  0.375
Se  0.750  0.625  0.875
Se  0.875  0.625  0.250
Se  0.875  0.750  0.625
N  0.000  0.000  0.000
N  0.000  0.000  0.500
N  0.000  0.500  0.000
N  0.000  0.500  0.500
N  0.125  0.750  0.875
N  0.125  0.875  0.250
N  0.250  0.125  0.875
N  0.250  0.625  0.375
N  0.375  0.250  0.625
N  0.375  0.625  0.750
N  0.500  0.000  0.000
N  0.500  0.000  0.500
N  0.500  0.500  0.000
N  0.500  0.500  0.500
N  0.625  0.375  0.250
N  0.625  0.750  0.375
N  0.750  0.375  0.625
N  0.750  0.875  0.125
N  0.875  0.125  0.750
N  0.875  0.250  0.125